[1]
# Li5Ac2Cd4 (PBE-GGA, optimized geometry)
# - energy of formation from the pure elements (meV/atom) = -184
# - calculated total energy (eV per atom) = -2.133
data_Li5Ac2Cd4
_chemical_formula_sum 'Li20 Ac8 Cd16'
_symmetry_space_group_name_H-M 'F m m m'
_symmetry_Int_Tables_number 69
_symmetry_space_group_name_Hall '-F 2 2'
_cell_length_a 6.0472
_cell_length_b 10.1417
_cell_length_c 17.9942
_cell_angle_alpha 90.00
_cell_angle_beta 90.00
_cell_angle_gamma 90.00
loop_
_atom_site_label
_atom_site_type_symbol
_atom_site_fract_x
_atom_site_fract_y
_atom_site_fract_z
Li1 Li 0.0000 0.0000 0.0000
Li2 Li 0.2500 0.2500 0.0000
Li3 Li 0.2500 0.2500 0.2500
Ac1 Ac 0.0000 0.0000 0.3529
Cd1 Cd 0.0000 0.1582 0.1291


[2]
# LiAcCd4 (PBE-GGA, optimized geometry)
# - energy of formation from the pure elements (meV/atom) = -197
# - calculated total energy (eV per atom) = -1.810
# - ΔE to the lowest computed polymorph (meV per atom) = 59
data_LiAcCd4
_chemical_formula_sum 'Li4 Ac4 Cd16'
_symmetry_space_group_name_H-M 'F -4 3 m'
_symmetry_Int_Tables_number 216
_symmetry_space_group_name_Hall 'F -4 2 3'
_cell_length_a 8.5564
_cell_length_b 8.5564
_cell_length_c 8.5564
_cell_angle_alpha 90.00
_cell_angle_beta 90.00
_cell_angle_gamma 90.00
loop_
_atom_site_label
_atom_site_type_symbol
_atom_site_fract_x
_atom_site_fract_y
_atom_site_fract_z
Li1 Li 0.0000 0.0000 0.0000
Ac1 Ac 0.2500 0.2500 0.7500
Cd1 Cd 0.1257 0.1257 0.3743


[3]
# Li2Ac2Cd15 (PBE-GGA, optimized geometry)
# - energy of formation from the pure elements (meV/atom) = -217
# - calculated total energy (eV per atom) = -1.574
data_Li2Ac2Cd15
_chemical_formula_sum 'Li6 Ac6 Cd45'
_symmetry_space_group_name_H-M 'R -3 m'
_symmetry_Int_Tables_number 166
_symmetry_space_group_name_Hall '-R 3 2"'
_cell_length_a 10.2250
_cell_length_b 10.2250
_cell_length_c 15.0427
_cell_angle_alpha 90.00
_cell_angle_beta 90.00
_cell_angle_gamma 120.00
loop_
_atom_site_label
_atom_site_type_symbol
_atom_site_fract_x
_atom_site_fract_y
_atom_site_fract_z
Li1 Li 0.0000 0.0000 0.0986
Ac1 Ac 0.0000 0.0000 0.3389
Cd1 Cd 0.0000 0.2914 0.0000
Cd2 Cd 0.0000 0.5000 0.5000
Cd3 Cd 0.0059 0.5029 0.1489


Question: Which of these has the lowest calculated total energy?
Answer: Li5Ac2Cd4